Record 1
A geometry-optimized YTmFe2Si4 structure, computed with PBE.

abc: 3.928 8.495 8.495
angles: 27.31 90.00 90.00
Positions (direct):
Fe: 0.500 0.178 0.178
Fe: 0.000 0.823 0.823
Si: 0.500 0.042 0.042
Si: 0.000 0.251 0.251
Si: 0.500 0.750 0.750
Si: 0.000 0.957 0.957
Tm: 0.500 0.391 0.391
Y: 0.000 0.608 0.608

DFT total energy (eV per atom): -6.7596
Theoretical density (g/cm3): 6.15

***

Record 2
A geometry-optimized LiInAg2 structure, computed with PBE.

abc: 4.679 4.679 4.679
angles: 60.00 60.00 60.00
Positions (direct):
Ag: 0.000 0.000 0.000
Ag: 0.750 0.750 0.750
In: 0.500 0.500 0.500
Li: 0.250 0.250 0.250

DFT total energy (eV per atom): -2.7705
Theoretical density (g/cm3): 7.74

***

Please write out number 1 again, unchanged.
A geometry-optimized YTmFe2Si4 structure, computed with PBE.

abc: 3.928 8.495 8.495
angles: 27.31 90.00 90.00
Positions (direct):
Fe: 0.500 0.178 0.178
Fe: 0.000 0.823 0.823
Si: 0.500 0.042 0.042
Si: 0.000 0.251 0.251
Si: 0.500 0.750 0.750
Si: 0.000 0.957 0.957
Tm: 0.500 0.391 0.391
Y: 0.000 0.608 0.608

DFT total energy (eV per atom): -6.7596
Theoretical density (g/cm3): 6.15

***

Q: Look up the DFT total energy of the first one.
A: -6.7596 eV per atom